# 1
Density functional theory data (PBE) for a geometry-optimized HgHPt2Au structure.

```
data_HgHPt2Au
_chemical_formula_sum 'Hg1 H1 Pt2 Au1'
_cell_length_a 4.0362
_cell_length_b 4.0362
_cell_length_c 4.4805
_cell_angle_alpha 90.00
_cell_angle_beta 90.00
_cell_angle_gamma 90.00
_space_group_name_H-M_alt 'P 4/m m m'
_space_group_IT_number 123
_space_group_name_Hall '-P 4 2'
loop_
_atom_site_label
_atom_site_fract_x
_atom_site_fract_y
_atom_site_fract_z
Hg1 0.0000 0.0000 0.0000
H1 0.0000 0.0000 0.5000
Pt1 0.0000 0.5000 0.5000
Au1 0.5000 0.5000 0.0000
```

Properties
crystal system	tetragonal
density	17.94	g/cm3
total magnetic moment	0.00	μB/f.u.
offset from the most stable computed form	59.8	meV per atom

***

# 2
Density functional theory data (PBE) for a geometry-optimized Rb2HgHAu structure.

```
data_Rb2HgHAu
_chemical_formula_sum 'Rb2 Hg1 H1 Au1'
_cell_length_a 5.6811
_cell_length_b 5.6811
_cell_length_c 4.7203
_cell_angle_alpha 90.00
_cell_angle_beta 90.00
_cell_angle_gamma 90.00
_space_group_name_H-M_alt 'P 4/m m m'
_space_group_IT_number 123
_space_group_name_Hall '-P 4 2'
loop_
_atom_site_label
_atom_site_fract_x
_atom_site_fract_y
_atom_site_fract_z
Rb1 0.0000 0.5000 0.0000
Hg1 0.0000 0.0000 0.5000
H1 0.0000 0.0000 0.0000
Au1 0.5000 0.5000 0.5000
```

Properties
crystal system	tetragonal
density	6.21	g/cm3
total magnetic moment	0.00	μB/f.u.
offset from the most stable computed form	58.4	meV per atom

***

# 3
Density functional theory data (PBE) for a geometry-optimized Rb2HgH6Au structure.

```
data_Rb2HgH6Au
_chemical_formula_sum 'Rb4 Hg2 H12 Au2'
_cell_length_a 8.4967
_cell_length_b 8.4943
_cell_length_c 6.0721
_cell_angle_alpha 90.00
_cell_angle_beta 134.38
_cell_angle_gamma 90.00
_space_group_name_H-M_alt 'C 1 2/m 1'
_space_group_IT_number 12
_space_group_name_Hall '-C 2y'
loop_
_atom_site_label
_atom_site_fract_x
_atom_site_fract_y
_atom_site_fract_z
Rb1 0.0000 0.2500 0.0000
Hg1 0.0000 0.0000 0.5000
H1 0.0000 0.2967 0.5000
H2 0.2012 0.0000 0.9037
H3 0.2024 0.5000 0.4990
Au1 0.0000 0.5000 0.5000
```

Properties
crystal system	monoclinic
density	6.09	g/cm3
total magnetic moment	0.00	μB/f.u.
calculated total energy	-52.5	eV for the cell shown

***

# 4
Density functional theory data (PBE) for a geometry-optimized Rb2HgHAu structure.

```
data_Rb2HgHAu
_chemical_formula_sum 'Rb2 Hg1 H1 Au1'
_cell_length_a 6.6915
_cell_length_b 6.6915
_cell_length_c 3.7850
_cell_angle_alpha 90.00
_cell_angle_beta 90.00
_cell_angle_gamma 90.00
_space_group_name_H-M_alt 'P 4/m m m'
_space_group_IT_number 123
_space_group_name_Hall '-P 4 2'
loop_
_atom_site_label
_atom_site_fract_x
_atom_site_fract_y
_atom_site_fract_z
Rb1 0.0000 0.5000 0.0000
Hg1 0.0000 0.0000 0.5000
H1 0.5000 0.5000 0.5000
Au1 0.5000 0.5000 0.0000
```

Properties
crystal system	tetragonal
density	5.58	g/cm3
total magnetic moment	0.00	μB/f.u.
offset from the most stable computed form	95.6	meV per atom